A crystal of MgZr2Be relaxed with PBEsol, computed with meta-GGA SCAN.

Geometry as CIF:
```
data_MgZr2Be
_space_group_name_H-M_alt 'F m -3 m'
_space_group_IT_number 225
_space_group_name_Hall '-F 4 2 3'
_cell_length_a 6.620
_cell_length_b 6.620
_cell_length_c 6.620
_cell_angle_alpha 90.00
_cell_angle_beta 90.00
_cell_angle_gamma 90.00
loop_
_atom_site_label
_atom_site_type_symbol
_atom_site_fract_x
_atom_site_fract_y
_atom_site_fract_z
_atom_site_occupancy
Mg1 Mg 0.000 0.000 0.000 1
Zr1 Zr 0.250 0.250 0.250 1
Be1 Be 0.000 0.000 0.500 1
```

Values from the calculation:
M_tot	0.000	μB/f.u.
relative energy among the computed polymorphs	89	meV/atom
formation energy from the elements	0.36	eV per formula unit

=====

A crystal of MgZr2Be relaxed with PBEsol, computed with meta-GGA SCAN.

Geometry as CIF:
```
data_MgZr2Be
_space_group_name_H-M_alt 'P 4/m m m'
_space_group_IT_number 123
_space_group_name_Hall '-P 4 2'
_cell_length_a 2.952
_cell_length_b 2.952
_cell_length_c 8.560
_cell_angle_alpha 90.00
_cell_angle_beta 90.00
_cell_angle_gamma 90.00
loop_
_atom_site_label
_atom_site_type_symbol
_atom_site_fract_x
_atom_site_fract_y
_atom_site_fract_z
_atom_site_occupancy
Mg1 Mg 0.000 0.000 0.000 1
Zr1 Zr 0.500 0.500 0.302 1
Be1 Be 0.000 0.000 0.500 1
```

Values from the calculation:
M_tot	0.119	μB/f.u.
relative energy among the computed polymorphs	0	meV/atom
formation energy from the elements	0.00	eV per formula unit

=====

What did the second record say?
A crystal of MgZr2Be relaxed with PBEsol, computed with meta-GGA SCAN.

Geometry as CIF:
```
data_MgZr2Be
_space_group_name_H-M_alt 'P 4/m m m'
_space_group_IT_number 123
_space_group_name_Hall '-P 4 2'
_cell_length_a 2.952
_cell_length_b 2.952
_cell_length_c 8.560
_cell_angle_alpha 90.00
_cell_angle_beta 90.00
_cell_angle_gamma 90.00
loop_
_atom_site_label
_atom_site_type_symbol
_atom_site_fract_x
_atom_site_fract_y
_atom_site_fract_z
_atom_site_occupancy
Mg1 Mg 0.000 0.000 0.000 1
Zr1 Zr 0.500 0.500 0.302 1
Be1 Be 0.000 0.000 0.500 1
```

Values from the calculation:
M_tot	0.119	μB/f.u.
relative energy among the computed polymorphs	0	meV/atom
formation energy from the elements	0.00	eV per formula unit